1.
AlHF after structural relaxation, computed with PBE-GGA.

Cell and atoms, written as POSCAR:
```
AlHF
1.0
-4.959 1.619 -0.677
-1.125 -2.357 2.602
5.159 3.362 5.275
F Al H
4 4 4
direct
0.565 0.500 0.159
0.565 0.000 0.659
0.435 0.000 0.341
0.435 0.500 0.841
0.169 0.000 0.428
0.831 0.000 0.572
0.169 0.500 0.928
0.831 0.500 0.072
0.128 0.000 0.853
0.128 0.500 0.353
0.872 0.000 0.147
0.872 0.500 0.647
```

Its space-group type is No. 12. As for the crystal system: monoclinic. Its distance to the lowest polymorph of the same formula is 99.7 meV/atom.

***

2.
Y3Tl2Ag after structural relaxation, computed with PBE-GGA.

Cell and atoms, written as POSCAR:
```
Y3Tl2Ag
1.0
5.303 0.000 0.000
-2.651 4.592 0.000
0.000 0.000 13.035
Y Tl Ag
6 4 2
direct
0.000 0.000 0.746
0.667 0.333 0.088
0.000 0.000 0.254
0.333 0.667 0.418
0.667 0.333 0.582
0.333 0.667 0.912
0.333 0.667 0.173
0.667 0.333 0.827
0.000 0.000 0.500
0.000 0.000 0.000
0.333 0.667 0.668
0.667 0.333 0.332
```

Its formation energy is -35.1 kJ/mol of atoms. Its space-group type is No. 164. As for the crystal system: trigonal. Its distance to the lowest polymorph of the same formula is 2.2 meV/atom.

***

3.
Sm4Dy7Y after structural relaxation, computed with PBE-GGA.

Cell and atoms, written as POSCAR:
```
Sm4Dy7Y
1.0
-5.280 -2.512 -0.905
-1.632 -6.865 9.235
-5.317 3.321 2.463
Dy Sm Y
7 4 1
direct
0.632 0.503 0.234
0.787 0.923 0.502
0.213 0.077 0.498
0.935 0.317 0.813
0.500 0.000 0.000
0.368 0.497 0.766
0.065 0.683 0.187
0.233 0.327 0.208
0.361 0.777 0.500
0.639 0.223 0.500
0.767 0.673 0.792
0.000 0.000 0.000
```

Its formation energy is 26.5 kJ/mol of atoms. Its space-group type is No. 12. As for the crystal system: monoclinic. Its distance to the lowest polymorph of the same formula is 187.9 meV/atom.

***

4.
Zr2INF after structural relaxation, computed with PBE-GGA.

Cell and atoms, written as POSCAR:
```
Zr2INF
1.0
-3.354 -2.267 -2.036
2.834 -2.411 -1.985
-0.097 -2.947 3.441
Zr I F N
2 1 1 1
direct
0.500 0.000 0.000
0.000 0.000 0.500
0.500 0.500 0.500
0.000 0.000 0.000
0.000 0.500 0.000
```

For the energy relative to the elements, uncorrected, the calculation gives 0.166 eV/atom. Its space-group type is No. 123. As for the crystal system: tetragonal.

***

5.
TcW2Br after structural relaxation, computed with PBE-GGA.

Cell and atoms, written as POSCAR:
```
TcW2Br
1.0
-2.178 1.463 -4.719
-4.414 -2.545 -1.785
2.269 2.983 3.887
W Tc Br
2 1 1
direct
0.511 0.511 0.000
0.989 0.989 0.000
0.250 0.750 0.500
0.750 0.250 0.500
```

For the energy relative to the elements, uncorrected, the calculation gives 0.873 eV/atom. Its space-group type is No. 71. As for the crystal system: orthorhombic. Its distance to the lowest polymorph of the same formula is 353.1 meV/atom.

***

6.
Np3Ti5Pt12 after structural relaxation, computed with PBE-GGA.

Cell and atoms, written as POSCAR:
```
Np3Ti5Pt12
1.0
13.237 0.000 0.000
-4.412 12.480 0.000
-4.412 -6.240 10.808
Np Pt Ti
12 48 20
direct
0.125 0.250 0.875
0.375 0.625 0.250
0.625 0.375 0.750
0.875 0.750 0.125
0.250 0.625 0.875
0.375 0.750 0.625
0.750 0.375 0.125
0.125 0.875 0.750
0.250 0.125 0.375
0.625 0.250 0.375
0.875 0.125 0.250
0.750 0.875 0.625
0.445 0.779 0.863
0.415 0.137 0.582
0.082 0.166 0.445
0.637 0.582 0.915
0.834 0.915 0.279
0.334 0.555 0.418
0.055 0.418 0.834
0.915 0.082 0.637
0.334 0.779 0.415
0.585 0.863 0.418
0.666 0.445 0.582
0.221 0.666 0.085
0.221 0.555 0.637
0.582 0.945 0.666
0.555 0.334 0.918
0.555 0.221 0.137
0.918 0.834 0.555
0.137 0.721 0.555
0.055 0.637 0.721
0.418 0.363 0.585
0.666 0.221 0.585
0.779 0.445 0.363
0.585 0.721 0.666
0.415 0.279 0.334
0.915 0.834 0.779
0.863 0.279 0.445
0.166 0.085 0.721
0.363 0.945 0.779
0.582 0.637 0.415
0.082 0.915 0.137
0.834 0.918 0.055
0.363 0.418 0.085
0.637 0.055 0.221
0.945 0.363 0.279
0.721 0.137 0.055
0.918 0.085 0.863
0.137 0.415 0.082
0.279 0.863 0.945
0.863 0.585 0.918
0.085 0.166 0.221
0.418 0.055 0.334
0.085 0.918 0.363
0.779 0.334 0.915
0.721 0.585 0.166
0.279 0.415 0.834
0.445 0.666 0.082
0.945 0.582 0.166
0.166 0.082 0.945
0.875 0.625 0.750
0.750 0.625 0.375
0.625 0.750 0.875
0.500 0.500 0.000
0.000 0.000 0.500
0.125 0.375 0.250
0.750 0.125 0.875
0.000 0.000 0.000
0.625 0.875 0.250
0.500 0.500 0.500
0.500 0.000 0.000
0.375 0.125 0.750
0.000 0.500 0.500
0.375 0.250 0.125
0.125 0.750 0.375
0.250 0.875 0.125
0.500 0.000 0.500
0.875 0.250 0.625
0.250 0.375 0.625
0.000 0.500 0.000
```

Its formation energy is -20.0 kJ/mol of atoms. Its space-group type is No. 230. As for the crystal system: cubic.

***

7.
CeTh5Bi6 after structural relaxation, computed with PBE-GGA.

Cell and atoms, written as POSCAR:
```
CeTh5Bi6
1.0
-7.275 -3.062 1.174
-1.166 -1.140 7.785
-3.173 5.792 4.436
Bi Th Ce
6 5 1
direct
0.750 0.751 0.000
0.751 0.083 0.332
0.249 0.917 0.668
0.751 0.415 0.668
0.249 0.585 0.332
0.250 0.249 0.000
0.500 0.500 0.000
0.000 0.334 0.333
0.000 0.666 0.667
0.500 0.833 0.335
0.500 0.167 0.665
0.000 0.000 0.000
```

Its formation energy is -58.4 kJ/mol of atoms. Its space-group type is No. 12. As for the crystal system: monoclinic.

***

8.
Ca2BeB2Rh5 after structural relaxation, computed with PBE-GGA.

Cell and atoms, written as POSCAR:
```
Ca2BeB2Rh5
1.0
2.966 0.000 0.000
0.000 9.548 0.000
0.000 0.000 9.548
Rh Ca B Be
10 4 4 2
direct
0.500 0.933 0.212
0.500 0.433 0.288
0.500 0.067 0.788
0.500 0.567 0.712
0.500 0.500 0.000
0.500 0.212 0.067
0.500 0.288 0.567
0.500 0.000 0.500
0.500 0.788 0.933
0.500 0.712 0.433
0.000 0.324 0.824
0.000 0.176 0.324
0.000 0.824 0.676
0.000 0.676 0.176
0.000 0.127 0.627
0.000 0.373 0.127
0.000 0.627 0.873
0.000 0.873 0.373
0.000 0.500 0.500
0.000 0.000 0.000
```

Its formation energy is -48.4 kJ/mol of atoms. Its space-group type is No. 127. As for the crystal system: tetragonal.